Density functional theory data (PBE) for crystalline TlFeReNi at its relaxed geometry.

Structure (POSCAR):
```
TlFeReNi
1.0
0.0595 -4.0668 1.5520
-2.4019 -3.0916 -1.9036
1.9350 -3.1689 -2.2726
Ni Re Fe Tl
1 1 1 1
direct
0.2500 0.2500 0.2500
0.5000 0.5000 0.5000
0.7500 0.7500 0.7500
0.0000 0.0000 0.0000
```

Density   14.38 g/cm3
Energy   -6.526 eV/atom
Energy above the most stable polymorph in this dataset   0 meV/atom